Here is an optimized crystal structure of Li6Cd12Au from the Alexandria database. Energies are from PBE-GGA.

The structure in extended XYZ format:
```
19
Lattice="7.169 0.504 0.604 -0.588 7.162 0.604 -0.588 -0.685 7.155" Properties=species:S:1:pos:R:3 pbc="T T T"
Cd 0.791 3.097 4.468
Cd 2.942 4.172 2.030
Cd 6.093 6.116 5.578
Cd 5.122 4.247 7.835
Cd 0.871 2.735 0.529
Cd 5.201 3.884 3.896
Cd 3.051 2.809 6.334
Cd 3.678 1.364 3.846
Cd -0.101 0.865 2.785
Cd 2.314 5.617 4.518
Cd 3.421 6.689 7.015
Cd 2.571 0.292 1.349
Li 0.204 5.150 2.410
Li 5.788 1.831 5.953
Li 4.589 6.560 2.866
Li 0.933 4.785 6.966
Li 5.060 2.196 1.398
Li 1.404 0.422 5.498
Au 0.000 0.000 0.000
```

Summary:
Total magnetization = 0.0 μB/f.u.
ΔE_f = -220 meV per atom



Here is an optimized crystal structure of Li8Cd2Au from the Alexandria database. Energies are from PBE-GGA.

The structure in extended XYZ format:
```
11
Lattice="-3.069 -3.080 0.835 1.614 -2.974 -5.036 5.911 -1.449 4.640" Properties=species:S:1:pos:R:3 pbc="T T T"
Li 1.518 -1.339 0.640
Li 4.475 -4.123 1.239
Li -0.019 -3.380 -0.799
Li 2.968 -5.094 3.858
Li 1.488 -2.409 -3.418
Li 3.046 -2.267 2.831
Li 1.410 -5.236 -2.391
Li 2.938 -6.164 -0.201
Cd 1.531 -4.307 1.478
Cd 2.925 -3.196 -1.039
Au -1.535 -1.540 0.418
```

Summary:
Energy above the lowest structure with this stoichiometry = 0.0 meV per atom
Total magnetization = 0.0 μB/f.u.
ΔE_f = -252 meV per atom



Here is an optimized crystal structure of Li8Cd3Au2 from the Alexandria database. Energies are from PBE-GGA.

The structure in extended XYZ format:
```
13
Lattice="-4.044 -1.880 1.239 3.383 -6.008 1.926 -0.836 5.684 5.894" Properties=species:S:1:pos:R:3 pbc="T T T"
Li 2.010 -2.007 3.515
Li -2.057 2.275 5.383
Li -3.507 -0.197 5.545
Li -0.794 -2.074 2.905
Li 0.560 -4.479 3.677
Li 0.214 0.671 1.716
Li 2.333 -0.995 6.104
Li -0.702 -0.130 6.154
Cd 2.367 -4.203 1.347
Cd -2.022 -0.940 0.620
Cd 1.017 -1.805 0.579
Au 0.143 -2.461 5.377
Au -1.640 0.257 3.683
```

Summary:
Total magnetization = 0.0 μB/f.u.
ΔE_f = -262 meV per atom



Here is an optimized crystal structure of Li3CdAu12 from the Alexandria database. Energies are from PBE-GGA.

The structure in extended XYZ format:
```
16
Lattice="4.099 0.000 0.000 0.000 4.099 0.000 0.000 0.000 16.489" Properties=species:S:1:pos:R:3 pbc="T T T"
Au 2.049 0.000 2.192
Au 2.049 2.049 12.281
Au 2.049 2.049 8.245
Au 0.000 2.049 14.297
Au 2.049 0.000 6.229
Au 2.049 2.049 0.000
Au 0.000 2.049 2.192
Au 2.049 0.000 14.297
Au 2.049 2.049 4.209
Au 0.000 2.049 6.229
Au 2.049 0.000 10.261
Au 0.000 2.049 10.261
Li 0.000 0.000 4.199
Li 0.000 0.000 12.290
Li 0.000 0.000 8.245
Cd 0.000 0.000 0.000
```

Summary:
Total magnetization = 0.0 μB/f.u.
ΔE_f = -295 meV per atom



Here is an optimized crystal structure of Li3CdAu5 from the Alexandria database. Energies are from PBE-GGA.

The structure in extended XYZ format:
```
18
Lattice="5.627 0.000 0.000 0.000 7.889 0.000 0.000 -3.945 6.832" Properties=species:S:1:pos:R:3 pbc="T T T"
Au 1.407 1.289 2.232
Au 4.220 2.578 0.000
Au 2.813 3.945 2.277
Au 4.220 2.655 4.599
Au 0.000 3.945 2.277
Au 2.813 0.000 4.555
Au 4.220 6.600 2.232
Au 0.000 0.000 4.555
Au 1.407 5.311 0.000
Au 1.407 -2.655 4.599
Li 4.220 5.162 0.000
Li 1.407 -1.363 2.361
Li 4.220 1.363 2.361
Li 4.220 5.308 4.471
Li 1.407 2.581 4.471
Li 1.407 2.727 0.000
Cd 2.813 0.000 0.000
Cd 0.000 0.000 0.000
```

Summary:
Total magnetization = 0.0 μB/f.u.
ΔE_f = -401 meV per atom



Here is an optimized crystal structure of LiCd6Au5 from the Alexandria database. Energies are from PBE-GGA.

The structure in extended XYZ format:
```
12
Lattice="-4.652 0.398 -7.818 2.219 -0.155 -3.752 0.597 -6.669 -1.907" Properties=species:S:1:pos:R:3 pbc="T T T"
Cd -2.208 -4.208 -8.720
Cd 1.311 -4.491 -6.642
Cd -1.780 0.179 -8.651
Cd 0.372 -2.218 -4.756
Cd -3.147 -1.935 -6.834
Cd -0.653 0.064 -2.918
Au 0.950 -2.124 -1.886
Au -1.216 0.122 -5.785
Au -1.554 -4.220 -5.805
Au -0.282 -2.206 -7.671
Au 1.866 -4.700 -3.773
Li 0.000 0.000 0.000
```

Summary:
Energy above the lowest structure with this stoichiometry = 8.1 meV per atom
Total magnetization = 0.0 μB/f.u.
ΔE_f = -220 meV per atom



| no. | total DFT energy (no corrections) (eV per cell) |
| --- | --- |
| 1 | -29.91 |
| 2 | -23.19 |
| 3 | -28.01 |
| 4 | -50.70 |
| 5 | -53.30 |
| 6 | -26.43 |